TiIrPtRh2 | GGA-PBEsol | optimized geometry

Energy of formation (eV/f.u.): 5.8
Total magnetic moment (μB/cell): 0.00
Space group: P4/mmm, No. 123
VASP energy (eV per atom): -7.12

```
TiIrPtRh2
1.0
4.622 0.000 0.000
0.000 4.622 0.000
0.000 0.000 4.483
Ti Ir Pt Rh
1 1 1 2
Direct
0.000 0.000 0.000 Ti
0.000 0.000 0.500 Ir
0.500 0.500 0.000 Pt
0.000 0.500 0.500 Rh
0.500 0.000 0.500 Rh
```